This record from Alexandria describes an optimized crystal structure of CrSb2Rh. The functional is PBE.

Output
Its uncorrected energy is -25.2 eV/cell. As for the crystal system: orthorhombic. For the volume, the calculation gives 78 Å³ per cell. The calculation puts the total magnetic moment at 2.9 μB/cell. The calculation puts the uncorrected formation energy at 1 kJ per mole of atoms. Its space group is Imm2, No. 44.

a = 6.2420 Å, b = 6.2420 Å, c = 6.2420 Å
α = 145.04°, β = 145.95°, γ = 49.60°
Fractional positions:
Cr 0.4713 0.4713 0.0000
Rh 0.2069 0.7069 0.5000
Sb 0.0361 0.0361 0.0000
Sb 0.7858 0.2858 0.5000